(1)
Density functional theory data (PBE) for a relaxed CsSe2Br4 crystal.

Unit cell a=11.757 b=11.630 c=8.441 alpha=69.65 beta=68.04 gamma=42.31
Sites, in units of the cell vectors:
Cs (0.000, 0.000, 0.000)
Cs (0.250, 0.250, 0.250)
Se (0.005, 0.716, 0.655)
Se (0.624, 0.655, 0.716)
Se (0.655, 0.624, 0.005)
Se (0.716, 0.005, 0.624)
Br (0.145, 0.622, 0.350)
Br (0.344, 0.969, 0.689)
Br (0.350, 0.883, 0.145)
Br (0.622, 0.145, 0.883)
Br (0.689, 0.998, 0.344)
Br (0.883, 0.350, 0.622)
Br (0.969, 0.344, 0.998)
Br (0.998, 0.689, 0.969)

Output
The total energy comes out at -2.5870 eV per atom. The calculation puts the uncorrected formation energy at -514 meV per atom.

=====

(2)
Density functional theory data (PBE) for a relaxed SrAcBiO2 crystal.

Unit cell a=8.587 b=8.587 c=8.587 alpha=151.87 beta=151.87 gamma=40.21
Sites, in units of the cell vectors:
Sr (0.000, 0.000, 0.000)
Ac (0.353, 0.353, 0.000)
Bi (0.673, 0.673, 0.000)
O (0.423, 0.923, 0.500)
O (0.923, 0.423, 0.500)

Output
The total energy comes out at -6.1544 eV per atom. The calculation puts the uncorrected formation energy at -2237 meV per atom.

=====

(3)
Density functional theory data (PBE) for a relaxed NpSnPd2 crystal.

Unit cell a=5.171 b=4.651 c=6.888 alpha=90.00 beta=98.99 gamma=90.00
Sites, in units of the cell vectors:
Np (0.194, 0.250, 0.218)
Np (0.806, 0.750, 0.782)
Sn (0.252, 0.250, 0.714)
Sn (0.748, 0.750, 0.286)
Pd (0.299, 0.750, 0.485)
Pd (0.335, 0.750, 0.953)
Pd (0.665, 0.250, 0.047)
Pd (0.701, 0.250, 0.515)

Output
The value obtained for the energy relative to the elements is -371.8 meV/atom. The total energy comes out at -7.2041 eV per atom.

=====

(4)
Density functional theory data (PBE) for a relaxed La2ZnCoH crystal.

Unit cell a=5.190 b=5.190 c=3.638 alpha=90.00 beta=90.00 gamma=90.00
Sites, in units of the cell vectors:
La (0.000, 0.500, 0.000)
La (0.500, 0.000, 0.000)
Zn (0.000, 0.000, 0.500)
Co (0.500, 0.500, 0.500)
H (0.500, 0.500, 0.000)

Output
The energy above the lowest structure with this stoichiometry is 64 meV/atom. The total energy comes out at -4.5522 eV per atom.

=====

(5)
Density functional theory data (PBE) for a relaxed Ta2V3Si4 crystal.

Unit cell a=6.481 b=6.491 c=6.389 alpha=90.00 beta=109.64 gamma=90.00
Sites, in units of the cell vectors:
Ta (0.187, 0.169, 0.056)
Ta (0.187, 0.331, 0.556)
Ta (0.813, 0.669, 0.444)
Ta (0.813, 0.831, 0.944)
V (0.250, 0.671, 0.247)
V (0.250, 0.829, 0.747)
V (0.500, 0.000, 0.500)
V (0.500, 0.500, 0.000)
V (0.750, 0.171, 0.253)
V (0.750, 0.329, 0.753)
Si (0.079, 0.540, 0.855)
Si (0.079, 0.960, 0.355)
Si (0.495, 0.131, 0.867)
Si (0.495, 0.369, 0.367)
Si (0.505, 0.631, 0.633)
Si (0.505, 0.869, 0.133)
Si (0.921, 0.040, 0.645)
Si (0.921, 0.460, 0.145)

Output
The total energy comes out at -8.6534 eV per atom. The calculation puts the uncorrected formation energy at -570 meV per atom.

=====

(6)
Density functional theory data (PBE) for a relaxed AcPr2CoAg crystal.

Unit cell a=5.346 b=5.346 c=5.607 alpha=90.00 beta=90.00 gamma=90.00
Sites, in units of the cell vectors:
Ac (0.000, 0.000, 0.000)
Pr (0.000, 0.500, 0.483)
Pr (0.500, 0.000, 0.483)
Co (0.000, 0.000, 0.516)
Ag (0.500, 0.500, 0.092)

Output
The value obtained for the energy relative to the elements is 31.5 meV/atom. The total energy comes out at -4.6934 eV per atom.

=====

(7)
Density functional theory data (PBE) for a relaxed Er2Tm5Th4 crystal.

Unit cell a=8.931 b=8.931 c=6.537 alpha=99.48 beta=99.48 gamma=43.30
Sites, in units of the cell vectors:
Er (0.195, 0.195, 0.319)
Er (0.805, 0.805, 0.681)
Tm (0.000, 0.000, 0.500)
Tm (0.175, 0.655, 0.094)
Tm (0.345, 0.825, 0.906)
Tm (0.655, 0.175, 0.094)
Tm (0.825, 0.345, 0.906)
Th (0.248, 0.248, 0.838)
Th (0.406, 0.406, 0.589)
Th (0.594, 0.594, 0.411)
Th (0.752, 0.752, 0.162)

Output
The energy above the lowest structure with this stoichiometry is 172 meV/atom. The value obtained for the energy relative to the elements is 194.6 meV/atom. The total energy comes out at -5.3656 eV per atom.

=====

(8)
Density functional theory data (PBE) for a relaxed Na2BiCl5 crystal.

Unit cell a=7.197 b=7.197 c=7.901 alpha=117.48 beta=117.48 gamma=67.38
Sites, in units of the cell vectors:
Na (0.000, 0.000, 0.000)
Na (0.656, 0.656, 0.932)
Bi (0.709, 0.709, 0.478)
Cl (0.432, 0.903, 0.194)
Cl (0.544, 0.978, 0.775)
Cl (0.903, 0.432, 0.194)
Cl (0.954, 0.954, 0.609)
Cl (0.978, 0.544, 0.775)

Output
The energy above the lowest structure with this stoichiometry is 56 meV/atom. The total energy comes out at -3.2836 eV per atom. The calculation puts the uncorrected formation energy at -1315 meV per atom.

=====

(9)
Density functional theory data (PBE) for a relaxed PrAlAu2 crystal.

Unit cell a=8.265 b=7.160 c=5.818 alpha=90.00 beta=90.00 gamma=90.00
Sites, in units of the cell vectors:
Pr (0.051, 0.250, 0.150)
Pr (0.449, 0.750, 0.650)
Pr (0.551, 0.250, 0.350)
Pr (0.949, 0.750, 0.850)
Al (0.114, 0.750, 0.351)
Al (0.386, 0.250, 0.851)
Al (0.614, 0.750, 0.149)
Al (0.886, 0.250, 0.649)
Au (0.176, 0.049, 0.612)
Au (0.176, 0.451, 0.612)
Au (0.324, 0.549, 0.112)
Au (0.324, 0.951, 0.112)
Au (0.676, 0.049, 0.888)
Au (0.676, 0.451, 0.888)
Au (0.824, 0.549, 0.388)
Au (0.824, 0.951, 0.388)

Output
The value obtained for the energy relative to the elements is -712.0 meV/atom. The total energy comes out at -4.4812 eV per atom.

=====

(10)
Density functional theory data (PBE) for a relaxed BeCu2Ir crystal.

Unit cell a=9.344 b=9.344 c=9.344 alpha=159.50 beta=159.50 gamma=29.15
Sites, in units of the cell vectors:
Be (0.000, 0.000, 0.000)
Be (0.750, 0.250, 0.500)
Cu (0.120, 0.625, 0.995)
Cu (0.375, 0.370, 0.495)
Cu (0.630, 0.125, 0.005)
Cu (0.875, 0.880, 0.505)
Ir (0.250, 0.750, 0.500)
Ir (0.500, 0.500, 0.000)

Output
The value obtained for the energy relative to the elements is 191.9 meV/atom. The total energy comes out at -5.0030 eV per atom.

=====

(11)
Density functional theory data (PBE) for a relaxed Ag2Sb2S5 crystal.

Unit cell a=8.271 b=8.271 c=6.763 alpha=94.64 beta=94.64 gamma=27.81
Sites, in units of the cell vectors:
Ag (0.147, 0.147, 0.360)
Ag (0.853, 0.853, 0.640)
Sb (0.436, 0.436, 0.196)
Sb (0.564, 0.564, 0.804)
S (0.000, 0.000, 0.500)
S (0.141, 0.141, 0.990)
S (0.320, 0.320, 0.418)
S (0.680, 0.680, 0.582)
S (0.859, 0.859, 0.010)

Output
The energy above the lowest structure with this stoichiometry is 60 meV/atom. The total energy comes out at -3.8706 eV per atom. The calculation puts the uncorrected formation energy at -28 meV per atom.

=====

(12)
Density functional theory data (PBE) for a relaxed La4TcNi crystal.

Unit cell a=6.141 b=6.141 c=6.141 alpha=60.00 beta=60.00 gamma=60.00
Sites, in units of the cell vectors:
La (0.376, 0.376, 0.376)
La (0.376, 0.376, 0.873)
La (0.376, 0.873, 0.376)
La (0.873, 0.376, 0.376)
Tc (0.750, 0.750, 0.750)
Ni (0.000, 0.000, 0.000)

Output
The energy above the lowest structure with this stoichiometry is 1133 meV/atom. The value obtained for the energy relative to the elements is 1011.1 meV/atom. The total energy comes out at -4.9651 eV per atom.